No. 1
Here is a geometry-optimized FeRe3 structure from the Alexandria database. Energies are from GGA-PBEsol.

Cell: 4.6380 5.3911 13.0586 Å, 90.00 90.00 90.00°
Last column: magnetic moment on the atom in μB.
Sites, in units of the cell vectors:
Re 0.6676 0.7506 0.3353  -0.07
Re 0.5005 0.0000 0.5000  0.03
Re 0.6676 0.2494 0.6647  -0.07
Re 0.9906 0.2489 0.0000  -0.06
Re 0.0094 0.2511 0.5000  -0.06
Re 0.3324 0.7494 0.1647  -0.07
Re 0.6676 0.2494 0.3353  -0.07
Re 0.3324 0.2506 0.1647  -0.07
Fe 0.8341 0.5000 0.1695  1.26
Re 0.0094 0.7489 0.5000  -0.06
Fe 0.5072 0.5000 0.5000  0.64
Re 0.3324 0.2506 0.8353  -0.07
Fe 0.8341 0.5000 0.8305  1.26
Re 0.9906 0.7511 0.0000  -0.06
Fe 0.1659 0.0000 0.3305  1.26
Fe 0.4928 0.0000 0.0000  0.64
Re 0.6676 0.7506 0.6647  -0.07
Re 0.1700 0.5000 0.3338  0.02
Re 0.4995 0.5000 0.0000  0.03
Fe 0.1659 0.0000 0.6695  1.26
Re 0.1700 0.5000 0.6662  0.02
Re 0.8300 0.0000 0.8338  0.02
Re 0.3324 0.7494 0.8353  -0.07
Re 0.8300 0.0000 0.1662  0.02

Total energy ... -48.8 eV/f.u.
Crystal system ... orthorhombic
Total magnetic moment ... 0.9 μB per formula unit
Space group ... Pmmn (59)
DFT formation energy ... 0.03 eV per atom


No. 2
Here is a geometry-optimized BaZnRh2 structure from the Alexandria database. Energies are from GGA-PBEsol.

Cell: 4.7498 4.7498 4.7498 Å, 60.00 60.00 60.00°
Sites, in units of the cell vectors:
Ba 0.5000 0.5000 0.5000
Zn 0.2500 0.2500 0.2500
Rh 0.7500 0.7500 0.7500
Rh 0.0000 0.0000 0.0000

Total energy ... -18.3 eV/f.u.
Crystal system ... cubic
Total magnetic moment ... 0.0 μB per formula unit
Space group ... F-43m (216)
DFT formation energy ... 0.43 eV per atom